No. 1
The following is a DFT calculation (PBE) of a relaxed Sr2AlW2 crystal. Values from VASP.

```
&SYSTEM
  ibrav = 0, nat = 5, ntyp = 3
/
ATOMIC_SPECIES
W 183.84 W.upf
Al 26.98 Al.upf
Sr 87.62 Sr.upf
CELL_PARAMETERS angstrom
-2.032 -2.065 -2.165
2.755 -2.313 -0.380
-3.112 -7.728 7.271
ATOMIC_POSITIONS crystal
W 0.750 0.250 0.500
W 0.250 0.750 0.500
Al 0.000 0.000 0.000
Sr 0.610 0.610 0.781
Sr 0.390 0.390 0.219
```

Summary:
The calculation puts the relative energy among the computed polymorphs at 0.0 kJ/mol of atoms. Its crystal system is tetragonal. The energy of formation from the pure elements is 709 meV per atom.

No. 2
The following is a DFT calculation (PBE) of a relaxed SrAlW2 crystal. Values from VASP.

```
&SYSTEM
  ibrav = 0, nat = 4, ntyp = 3
/
ATOMIC_SPECIES
Al 26.98 Al.upf
W 183.84 W.upf
Sr 87.62 Sr.upf
CELL_PARAMETERS angstrom
-5.446 -1.653 0.906
-1.481 -4.999 -2.456
3.466 2.622 3.785
ATOMIC_POSITIONS crystal
Al 0.525 0.525 0.000
W 0.776 0.276 0.500
W 0.962 0.962 0.000
Sr 0.236 0.736 0.500
```

Summary:
Its crystal system is orthorhombic. The energy of formation from the pure elements is 862 meV per atom.

No. 3
The following is a DFT calculation (PBE) of a relaxed SrAl4W crystal. Values from VASP.

```
&SYSTEM
  ibrav = 0, nat = 6, ntyp = 3
/
ATOMIC_SPECIES
Al 26.98 Al.upf
Sr 87.62 Sr.upf
W 183.84 W.upf
CELL_PARAMETERS angstrom
0.000 3.805 3.805
3.805 0.000 3.805
3.805 3.805 0.000
ATOMIC_POSITIONS crystal
Al 0.374 0.877 0.374
Al 0.374 0.374 0.374
Al 0.877 0.374 0.374
Al 0.374 0.374 0.877
Sr 0.750 0.750 0.750
W 0.000 0.000 0.000
```

Summary:
Its crystal system is cubic. The energy of formation from the pure elements is 153 meV per atom.

No. 4
The following is a DFT calculation (PBE) of a relaxed SrAlW2 crystal. Values from VASP.

```
&SYSTEM
  ibrav = 0, nat = 4, ntyp = 3
/
ATOMIC_SPECIES
Al 26.98 Al.upf
W 183.84 W.upf
Sr 87.62 Sr.upf
CELL_PARAMETERS angstrom
2.800 0.000 0.000
0.000 2.800 0.000
0.000 0.000 9.852
ATOMIC_POSITIONS crystal
Al 0.000 0.000 0.464
W 0.000 0.000 0.030
W 0.500 0.500 0.260
Sr 0.500 0.500 0.745
```

Summary:
Its crystal system is tetragonal. The energy of formation from the pure elements is 664 meV per atom.

No. 5
The following is a DFT calculation (PBE) of a relaxed SrYAl2 crystal. Values from VASP.

```
&SYSTEM
  ibrav = 0, nat = 4, ntyp = 3
/
ATOMIC_SPECIES
Sr 87.62 Sr.upf
Al 26.98 Al.upf
Y 88.91 Y.upf
CELL_PARAMETERS angstrom
0.000 3.757 3.757
3.757 0.000 3.757
3.757 3.757 0.000
ATOMIC_POSITIONS crystal
Sr 0.000 0.000 0.000
Al 0.750 0.750 0.750
Al 0.250 0.250 0.250
Y 0.500 0.500 0.500
```

Summary:
The calculation puts the relative energy among the computed polymorphs at 7.3 kJ/mol of atoms. Its crystal system is cubic. The energy of formation from the pure elements is -178 meV per atom.

No. 6
The following is a DFT calculation (PBE) of a relaxed SrYAl2 crystal. Values from VASP.

```
&SYSTEM
  ibrav = 0, nat = 4, ntyp = 3
/
ATOMIC_SPECIES
Y 88.91 Y.upf
Al 26.98 Al.upf
Sr 87.62 Sr.upf
CELL_PARAMETERS angstrom
5.309 0.000 0.000
2.654 4.598 0.000
2.654 1.533 4.335
ATOMIC_POSITIONS crystal
Y 0.750 0.750 0.750
Al 0.250 0.250 0.250
Al 0.000 0.000 0.000
Sr 0.500 0.500 0.500
```

Summary:
The calculation puts the relative energy among the computed polymorphs at 47.1 kJ/mol of atoms. Its crystal system is cubic. The energy of formation from the pure elements is 234 meV per atom.

No. 7
The following is a DFT calculation (PBE) of a relaxed SrY3Al crystal. Values from VASP.

```
&SYSTEM
  ibrav = 0, nat = 5, ntyp = 3
/
ATOMIC_SPECIES
Y 88.91 Y.upf
Al 26.98 Al.upf
Sr 87.62 Sr.upf
CELL_PARAMETERS angstrom
5.707 0.000 0.000
0.000 5.707 0.000
0.000 0.000 5.707
ATOMIC_POSITIONS crystal
Y 0.000 0.500 0.000
Y 0.000 0.000 0.500
Y 0.500 0.000 0.000
Al 0.000 0.000 0.000
Sr 0.500 0.500 0.500
```

Summary:
The calculation puts the relative energy among the computed polymorphs at 0.0 kJ/mol of atoms. Its crystal system is cubic. The energy of formation from the pure elements is 189 meV per atom.

No. 8
The following is a DFT calculation (PBE) of a relaxed SrYAl4 crystal. Values from VASP.

```
&SYSTEM
  ibrav = 0, nat = 6, ntyp = 3
/
ATOMIC_SPECIES
Al 26.98 Al.upf
Y 88.91 Y.upf
Sr 87.62 Sr.upf
CELL_PARAMETERS angstrom
5.697 0.000 0.000
2.848 4.933 0.000
2.848 1.644 4.651
ATOMIC_POSITIONS crystal
Al 0.626 0.123 0.626
Al 0.123 0.626 0.626
Al 0.626 0.626 0.626
Al 0.626 0.626 0.123
Y 0.000 0.000 0.000
Sr 0.250 0.250 0.250
```

Summary:
Its crystal system is cubic. The energy of formation from the pure elements is -355 meV per atom.

No. 9
The following is a DFT calculation (PBE) of a relaxed SrY2Al crystal. Values from VASP.

```
&SYSTEM
  ibrav = 0, nat = 4, ntyp = 3
/
ATOMIC_SPECIES
Y 88.91 Y.upf
Sr 87.62 Sr.upf
Al 26.98 Al.upf
CELL_PARAMETERS angstrom
5.565 0.000 0.000
2.783 4.820 0.000
2.783 1.607 4.544
ATOMIC_POSITIONS crystal
Y 0.250 0.250 0.250
Y 0.000 0.000 0.000
Sr 0.750 0.750 0.750
Al 0.500 0.500 0.500
```

Summary:
Its crystal system is cubic. The energy of formation from the pure elements is 125 meV per atom.

No. 10
The following is a DFT calculation (PBE) of a relaxed SrY2Al crystal. Values from VASP.

```
&SYSTEM
  ibrav = 0, nat = 4, ntyp = 3
/
ATOMIC_SPECIES
Y 88.91 Y.upf
Sr 87.62 Sr.upf
Al 26.98 Al.upf
CELL_PARAMETERS angstrom
3.731 0.000 0.000
0.000 3.735 0.024
0.000 3.676 9.263
ATOMIC_POSITIONS crystal
Y 0.000 0.962 0.038
Y 0.500 0.210 0.290
Sr 0.500 0.795 0.705
Al 0.000 0.533 0.467
```

Summary:
Its crystal system is tetragonal. The energy of formation from the pure elements is -63 meV per atom.

No. 11
The following is a DFT calculation (PBE) of a relaxed SrYAl2 crystal. Values from VASP.

```
&SYSTEM
  ibrav = 0, nat = 4, ntyp = 3
/
ATOMIC_SPECIES
Al 26.98 Al.upf
Y 88.91 Y.upf
Sr 87.62 Sr.upf
CELL_PARAMETERS angstrom
-1.133 -5.040 -5.996
-3.253 -6.753 -2.541
-5.119 -3.534 -4.893
ATOMIC_POSITIONS crystal
Al 0.303 0.303 0.303
Al 0.961 0.961 0.961
Y 0.713 0.713 0.713
Sr 0.523 0.523 0.523
```

Summary:
The calculation puts the relative energy among the computed polymorphs at 9.5 kJ/mol of atoms. Its crystal system is trigonal. The energy of formation from the pure elements is -155 meV per atom.

No. 12
The following is a DFT calculation (PBE) of a relaxed SrYAl2 crystal. Values from VASP.

```
&SYSTEM
  ibrav = 0, nat = 4, ntyp = 3
/
ATOMIC_SPECIES
Al 26.98 Al.upf
Sr 87.62 Sr.upf
Y 88.91 Y.upf
CELL_PARAMETERS angstrom
10.113 0.042 0.025
9.430 3.653 0.025
9.430 1.783 3.188
ATOMIC_POSITIONS crystal
Al 0.005 0.005 0.005
Al 0.495 0.495 0.495
Sr 0.250 0.250 0.250
Y 0.750 0.750 0.750
```

Summary:
The calculation puts the relative energy among the computed polymorphs at 26.9 kJ/mol of atoms. Its crystal system is trigonal. The energy of formation from the pure elements is 25 meV per atom.

No. 13
The following is a DFT calculation (PBE) of a relaxed SrY2Al crystal. Values from VASP.

```
&SYSTEM
  ibrav = 0, nat = 4, ntyp = 3
/
ATOMIC_SPECIES
Sr 87.62 Sr.upf
Y 88.91 Y.upf
Al 26.98 Al.upf
CELL_PARAMETERS angstrom
-0.370 -3.352 -1.410
3.636 -0.357 -0.108
-0.102 -3.744 8.930
ATOMIC_POSITIONS crystal
Sr 0.500 0.500 0.750
Y 0.000 0.000 0.067
Y 0.000 0.000 0.433
Al 0.500 0.500 0.250
```

Summary:
Its crystal system is tetragonal. The energy of formation from the pure elements is -108 meV per atom.

No. 14
The following is a DFT calculation (PBE) of a relaxed SrY3Al8 crystal. Values from VASP.

```
&SYSTEM
  ibrav = 0, nat = 12, ntyp = 3
/
ATOMIC_SPECIES
Al 26.98 Al.upf
Y 88.91 Y.upf
Sr 87.62 Sr.upf
CELL_PARAMETERS angstrom
5.626 0.000 0.000
2.813 4.872 0.000
2.813 1.624 9.229
ATOMIC_POSITIONS crystal
Al 0.439 0.941 0.181
Al 0.937 0.433 0.694
Al 0.937 0.937 0.694
Al 0.439 0.439 0.181
Al 0.941 0.439 0.181
Al 0.433 0.937 0.694
Al 0.687 0.687 0.938
Al 0.187 0.187 0.438
Y 0.500 0.500 0.501
Y 0.375 0.375 0.874
Y 0.000 0.000 0.001
Sr 0.875 0.875 0.375
```

Summary:
The calculation puts the relative energy among the computed polymorphs at 0.0 kJ/mol of atoms. Its crystal system is trigonal. The energy of formation from the pure elements is -438 meV per atom.

No. 15
The following is a DFT calculation (PBE) of a relaxed SrY2Al crystal. Values from VASP.

```
&SYSTEM
  ibrav = 0, nat = 4, ntyp = 3
/
ATOMIC_SPECIES
Y 88.91 Y.upf
Al 26.98 Al.upf
Sr 87.62 Sr.upf
CELL_PARAMETERS angstrom
6.917 0.006 0.006
5.915 3.585 0.006
2.358 0.660 5.166
ATOMIC_POSITIONS crystal
Y 0.544 0.544 0.456
Y 0.956 0.956 0.044
Al 0.250 0.250 0.250
Sr 0.750 0.750 0.750
```

Summary:
Its crystal system is orthorhombic. The energy of formation from the pure elements is -86 meV per atom.

No. 16
The following is a DFT calculation (PBE) of a relaxed Sr2YAl crystal. Values from VASP.

```
&SYSTEM
  ibrav = 0, nat = 4, ntyp = 3
/
ATOMIC_SPECIES
Sr 87.62 Sr.upf
Y 88.91 Y.upf
Al 26.98 Al.upf
CELL_PARAMETERS angstrom
11.918 0.027 0.016
11.295 3.800 0.016
11.295 1.863 3.313
ATOMIC_POSITIONS crystal
Sr 0.011 0.011 0.011
Sr 0.489 0.489 0.489
Y 0.250 0.250 0.250
Al 0.750 0.750 0.750
```

Summary:
Its crystal system is trigonal. The energy of formation from the pure elements is 199 meV per atom.

No. 17
The following is a DFT calculation (PBE) of a relaxed Sr2Y2Al crystal. Values from VASP.

```
&SYSTEM
  ibrav = 0, nat = 10, ntyp = 3
/
ATOMIC_SPECIES
Sr 87.62 Sr.upf
Y 88.91 Y.upf
Al 26.98 Al.upf
CELL_PARAMETERS angstrom
7.979 0.000 0.000
0.000 7.979 0.000
0.000 0.000 5.954
ATOMIC_POSITIONS crystal
Sr 0.831 0.331 0.500
Sr 0.331 0.169 0.500
Sr 0.669 0.831 0.500
Sr 0.169 0.669 0.500
Y 0.150 0.350 0.000
Y 0.650 0.150 0.000
Y 0.850 0.650 0.000
Y 0.350 0.850 0.000
Al 0.000 0.000 0.000
Al 0.500 0.500 0.000
```

Summary:
Its crystal system is tetragonal. The energy of formation from the pure elements is 186 meV per atom.

No. 18
The following is a DFT calculation (PBE) of a relaxed Sr2YAl crystal. Values from VASP.

```
&SYSTEM
  ibrav = 0, nat = 4, ntyp = 3
/
ATOMIC_SPECIES
Sr 87.62 Sr.upf
Y 88.91 Y.upf
Al 26.98 Al.upf
CELL_PARAMETERS angstrom
-2.752 -3.685 1.987
-1.599 -1.277 -4.582
4.165 -3.386 -0.510
ATOMIC_POSITIONS crystal
Sr 0.000 0.000 0.000
Sr 0.500 0.500 0.000
Y 0.500 0.000 0.500
Al 0.000 0.500 0.500
```

Summary:
Its crystal system is tetragonal. The energy of formation from the pure elements is 77 meV per atom.

No. 19
The following is a DFT calculation (PBE) of a relaxed Sr2YAl crystal. Values from VASP.

```
&SYSTEM
  ibrav = 0, nat = 4, ntyp = 3
/
ATOMIC_SPECIES
Y 88.91 Y.upf
Sr 87.62 Sr.upf
Al 26.98 Al.upf
CELL_PARAMETERS angstrom
-5.727 2.391 -5.316
-0.922 -4.968 3.644
-3.212 1.616 1.398
ATOMIC_POSITIONS crystal
Y 0.000 0.500 0.500
Sr 0.500 0.000 0.500
Sr 0.000 0.000 0.000
Al 0.500 0.500 0.000
```

Summary:
Its crystal system is monoclinic. The energy of formation from the pure elements is 183 meV per atom.

No. 20
The following is a DFT calculation (PBE) of a relaxed SrY2Al crystal. Values from VASP.

```
&SYSTEM
  ibrav = 0, nat = 4, ntyp = 3
/
ATOMIC_SPECIES
Al 26.98 Al.upf
Sr 87.62 Sr.upf
Y 88.91 Y.upf
CELL_PARAMETERS angstrom
-2.027 4.415 -1.074
-3.335 -0.647 3.636
3.026 2.157 3.159
ATOMIC_POSITIONS crystal
Al 0.500 0.000 0.500
Sr 0.000 0.500 0.500
Y 0.000 0.000 0.000
Y 0.500 0.500 0.000
```

Summary:
Its crystal system is tetragonal. The energy of formation from the pure elements is 14 meV per atom.